Here is Er6ZnRh5 after structural relaxation from Alexandria. Energies are from GGA-PBE.

abc: 4.835 6.804 8.379
angles: 113.97 106.55 90.00
Fractional positions:
Er  0.500  0.257  0.000
Rh  0.334  0.834  0.669
Rh  0.666  0.166  0.331
Zn  0.000  0.000  0.000
Er  0.830  0.578  0.661
Er  0.170  0.917  0.339
Er  0.500  0.743  0.000
Rh  0.000  0.500  0.000
Rh  0.667  0.667  0.334
Er  0.830  0.083  0.661
Rh  0.333  0.333  0.666
Er  0.170  0.422  0.339

Results
- Total energy: -6.2815 eV per atom
- Total moment: 0.000 μB/atom
- Symmetry: C2/m, No. 12